(1)
AgBi3H | Alexandria via LeMat-Bulk | PBE-GGA | relaxed; energy relative to the lowest polymorph listed for this composition = 569.6 meV per atom; SG = Pm-3m (221); density of states at the Fermi level = 5.5 states/eV/cell
1.0
-4.140 2.258 2.969
-2.863 -4.768 -0.365
2.392 -1.797 4.702
H Bi Ag
1 3 1
Cartesian
-2.306 -2.153 3.653
-1.431 -2.384 -0.183
1.196 -0.898 2.351
-2.070 1.129 1.485
0.000 0.000 0.000

***

(2)
Ag3BiH | Alexandria via LeMat-Bulk | PBE-GGA | relaxed; SG = Pm-3m (221); electronic total energy = -2.933 eV/atom; density of states at the Fermi level = 1.4 states/eV/cell
1.0
-1.772 -3.261 -2.429
2.987 -2.842 1.636
-2.759 -0.982 3.332
H Bi Ag
1 1 3
Cartesian
0.000 0.000 0.000
-0.772 -3.543 1.269
1.493 -1.421 0.818
-1.380 -0.491 1.666
-0.886 -1.631 -1.215

***

(3)
AgBiH3 | Alexandria via LeMat-Bulk | PBE-GGA | relaxed; energy relative to the lowest polymorph listed for this composition = 65.3 meV per atom; SG = Pm-3m (221); density of states at the Fermi level = 2.4 states/eV/cell
1.0
4.206 0.000 0.000
0.000 4.206 0.000
0.000 0.000 4.206
H Bi Ag
3 1 1
Cartesian
0.000 2.103 0.000
0.000 0.000 2.103
2.103 0.000 0.000
0.000 0.000 0.000
2.103 2.103 2.103